# NaHf, relaxed, DFT PBE
# distance to the lowest polymorph of the same formula = 1008 meV/atom
# formation enthalpy at 0 K = 1425 meV per atom
# volume = 64.60 Å³ per atom
data_NaHf
_chemical_formula_sum 'Na8 Hf8'
_cell_length_a 10.111
_cell_length_b 10.111
_cell_length_c 10.111
_cell_angle_alpha 90.00
_cell_angle_beta 90.00
_cell_angle_gamma 90.00
_space_group_name_H-M_alt 'I -4 3 m'
_space_group_IT_number 217
_space_group_name_Hall 'I -4 2 3'
loop_
_atom_site_label
_atom_site_type_symbol
_atom_site_fract_x
_atom_site_fract_y
_atom_site_fract_z
_atom_site_occupancy
Na1 Na 0.203 0.203 0.203 1
Hf1 Hf 0.098 0.098 0.902 1